1.
A geometry-optimized CsLiMg6 structure, computed with PBE.

abc: 9.8176 9.8176 5.0087
angles: 90.00 90.00 143.54
Atoms (fractional coordinates):
Cs (0.2856, 0.7144, 0.5000)
Li (0.9271, 0.0729, 0.5000)
Mg (0.8120, 0.6808, 0.5000)
Mg (0.3192, 0.1880, 0.5000)
Mg (0.7078, 0.7839, 0.0000)
Mg (0.2161, 0.2922, 0.0000)
Mg (0.6213, 0.3787, 0.0000)
Mg (0.1109, 0.8891, 0.0000)

Properties
* M_tot: 0.00 μB/f.u.
* formation enthalpy at 0 K: 0.1831 eV/atom
* E above lowest polymorph: 0.000 eV/atom
* calculated total energy: -1.359 eV/atom
* density: 1.65 g/cm3
* SG: Amm2 (38)

2.
A geometry-optimized Rb2Te2As structure, computed with PBE.

abc: 4.9406 7.5653 11.4829
angles: 90.00 102.42 90.00
Atoms (fractional coordinates):
Rb (0.0246, 0.2822, 0.0493)
Rb (0.2061, 0.5202, 0.4122)
Rb (0.7939, 0.0202, 0.5878)
Rb (0.9754, 0.7822, 0.9507)
Te (0.5881, 0.6089, 0.1763)
Te (0.1664, 0.0031, 0.3329)
Te (0.8336, 0.5031, 0.6671)
Te (0.4119, 0.1089, 0.8237)
As (0.6093, 0.9511, 0.2187)
As (0.3907, 0.4511, 0.7813)

Properties
* M_tot: 0.00 μB/f.u.
* formation energy from raw total energies: -614 meV/atom
* E above lowest polymorph: 0.000 eV/atom
* calculated total energy: -3.187 eV/atom
* density: 3.97 g/cm3
* SG: Cmc2_1 (36)

3.
A geometry-optimized Ba2CaTl7 structure, computed with PBE.

abc: 5.0497 5.0497 13.7107
angles: 90.00 90.00 90.00
Atoms (fractional coordinates):
Ba (0.5000, 0.0000, 0.7380)
Ba (0.0000, 0.5000, 0.2620)
Ca (0.5000, 0.5000, 0.0000)
Tl (0.0000, 0.5000, 0.8565)
Tl (0.5000, 0.0000, 0.3617)
Tl (0.5000, 0.0000, 0.1435)
Tl (0.0000, 0.5000, 0.6383)
Tl (0.0000, 0.0000, 0.5000)
Tl (0.0000, 0.0000, 0.0000)
Tl (0.5000, 0.5000, 0.5000)

Properties
* M_tot: 0.00 μB/f.u.
* formation enthalpy at 0 K: -0.2621 eV/atom
* calculated total energy: -2.503 eV/atom
* density: 8.29 g/cm3
* SG: P-4m2 (115)